Here is crystalline Cs3HgTe at its relaxed geometry from Alexandria. Energies are from PBE.

The calculated total energy is -18.21 eV/cell. The space group is P-1. The calculation puts the formation energy without anion corrections at -0.62 eV per atom.

Structure (POSCAR):
```
Cs3HgTe
1.0
5.2167 0.0000 0.0000
-2.6079 9.7426 0.0000
-0.0034 -0.8455 11.6394
Cs Hg Te
6 2 2
direct
0.0505 0.0980 0.1456 Cs
0.2395 0.4782 0.8454 Cs
0.4013 0.8007 0.3937 Cs
0.5987 0.1993 0.6063 Cs
0.7605 0.5218 0.1546 Cs
0.9495 0.9020 0.8544 Cs
0.2129 0.4258 0.4511 Hg
0.7871 0.5742 0.5489 Hg
0.3917 0.7818 0.0795 Te
0.6083 0.2182 0.9205 Te
```


Here is crystalline CsHg4Te at its relaxed geometry from Alexandria. Energies are from PBE.

The calculated total energy is -13.45 eV/cell. The space group is I4_1/a. The calculation puts the formation energy without anion corrections at -0.25 eV per atom.

Structure (POSCAR):
```
CsHg4Te
1.0
-2.9138 2.9138 13.3247
2.9138 -2.9138 13.3247
2.9138 2.9138 -13.3247
Cs Hg Te
2 8 2
direct
0.3750 0.1250 0.2500 Cs
0.6250 0.8750 0.7500 Cs
0.2276 0.7304 0.9982 Hg
0.2304 0.7323 0.5029 Hg
0.2323 0.2294 0.5018 Hg
0.2706 0.2724 0.0029 Hg
0.7294 0.7276 0.9971 Hg
0.7677 0.7706 0.4982 Hg
0.7696 0.2677 0.4971 Hg
0.7724 0.2696 0.0018 Hg
0.1250 0.3750 0.7500 Te
0.8750 0.6250 0.2500 Te
```


Here is crystalline Cs2Hg2Te at its relaxed geometry from Alexandria. Energies are from PBE.

The calculated total energy is -14.89 eV/cell. The space group is P4/mbm. The calculation puts the formation energy without anion corrections at -0.40 eV per atom.

Structure (POSCAR):
```
Cs2Hg2Te
1.0
9.6168 0.0000 0.0000
0.0000 9.6168 0.0000
0.0000 0.0000 5.8924
Cs Hg Te
4 4 2
direct
0.1555 0.3445 0.0000 Cs
0.3445 0.8445 0.0000 Cs
0.6555 0.1555 0.0000 Cs
0.8445 0.6555 0.0000 Cs
0.1442 0.6442 0.5000 Hg
0.3558 0.1442 0.5000 Hg
0.6442 0.8558 0.5000 Hg
0.8558 0.3558 0.5000 Hg
0.0000 0.0000 0.0000 Te
0.5000 0.5000 0.0000 Te
```


Here is crystalline CsHgTe at its relaxed geometry from Alexandria. Energies are from PBE.

The calculated total energy is -12.50 eV/cell. The space group is C2/m. The calculation puts the formation energy without anion corrections at -0.65 eV per atom.

Structure (POSCAR):
```
CsHgTe
1.0
7.4220 -2.3807 0.0000
7.4220 2.3807 0.0000
-7.2871 0.0000 7.4252
Cs Hg Te
2 2 2
direct
0.9996 0.9996 0.2198 Cs
0.0004 0.0004 0.7802 Cs
0.3680 0.3680 0.3684 Hg
0.6320 0.6320 0.6316 Hg
0.2878 0.2878 0.7874 Te
0.7122 0.7122 0.2126 Te
```


Here is crystalline Cs3HgTe3 at its relaxed geometry from Alexandria. Energies are from PBE.

The calculated total energy is -34.34 eV/cell. The space group is P6_3/m. The calculation puts the formation energy without anion corrections at -0.70 eV per atom.

Structure (POSCAR):
```
Cs3HgTe3
1.0
11.0283 0.0000 0.0000
-5.5142 9.5508 0.0000
0.0000 0.0000 7.8107
Cs Hg Te
6 2 6
direct
0.0788 0.3668 0.2500 Cs
0.2880 0.9212 0.2500 Cs
0.3668 0.2880 0.7500 Cs
0.6332 0.7120 0.2500 Cs
0.7120 0.0788 0.7500 Cs
0.9212 0.6332 0.7500 Cs
0.3333 0.6667 0.7500 Hg
0.6667 0.3333 0.2500 Hg
0.0938 0.4036 0.7500 Te
0.3098 0.9062 0.7500 Te
0.4036 0.3098 0.2500 Te
0.5964 0.6902 0.7500 Te
0.6902 0.0938 0.2500 Te
0.9062 0.5964 0.2500 Te
```


Here is crystalline CsHg2Te3 at its relaxed geometry from Alexandria. Energies are from PBE.

The calculated total energy is -26.18 eV/cell. The space group is C2/m. The calculation puts the formation energy without anion corrections at -0.37 eV per atom.

Structure (POSCAR):
```
CsHg2Te3
1.0
4.5424 -9.0068 0.0000
4.5424 9.0068 0.0000
-2.9670 0.0000 6.5985
Cs Hg Te
2 4 6
direct
0.1675 0.8325 0.0000 Cs
0.8325 0.1675 0.0000 Cs
0.0000 0.0000 0.5000 Hg
0.3838 0.6162 0.5000 Hg
0.5000 0.5000 0.0000 Hg
0.6162 0.3838 0.5000 Hg
0.0758 0.4378 0.5922 Te
0.3073 0.3073 0.1932 Te
0.4378 0.0758 0.5922 Te
0.5622 0.9242 0.4078 Te
0.6927 0.6927 0.8068 Te
0.9242 0.5622 0.4078 Te
```


Here is crystalline CsHgTe at its relaxed geometry from Alexandria. Energies are from PBE.

The calculated total energy is -6.02 eV/cell. The space group is Cm. The calculation puts the formation energy without anion corrections at -0.57 eV per atom.

Structure (POSCAR):
```
CsHgTe
1.0
4.6920 -3.7124 0.0000
4.6920 3.7124 0.0000
-3.5283 0.0000 4.5787
Cs Hg Te
1 1 1
direct
0.0000 0.0000 0.0000 Cs
0.4991 0.4991 0.7503 Hg
0.4999 0.4999 0.2511 Te
```


Here is crystalline CsHgTe at its relaxed geometry from Alexandria. Energies are from PBE.

The calculated total energy is -5.49 eV/cell. The space group is F-43m. The calculation puts the formation energy without anion corrections at -0.40 eV per atom.

Structure (POSCAR):
```
CsHgTe
1.0
0.0000 4.1716 4.1716
4.1716 0.0000 4.1716
4.1716 4.1716 0.0000
Cs Hg Te
1 1 1
direct
0.0000 0.0000 0.0000 Cs
0.5000 0.5000 0.5000 Hg
0.7500 0.7500 0.7500 Te
```


Here is crystalline CsHg5Te4 at its relaxed geometry from Alexandria. Energies are from PBE.

The calculated total energy is -34.27 eV/cell. The space group is Pmmn. The calculation puts the formation energy without anion corrections at -0.22 eV per atom.

Structure (POSCAR):
```
CsHg5Te4
1.0
10.0256 0.0000 0.0000
0.0000 13.3169 0.0000
0.0000 0.0000 5.9077
Cs Hg Te
2 10 8
direct
0.2500 0.2500 0.0251 Cs
0.7500 0.7500 0.9749 Cs
0.0641 0.5568 0.6662 Hg
0.0641 0.9432 0.6662 Hg
0.2500 0.7500 0.2329 Hg
0.4359 0.5568 0.6662 Hg
0.4359 0.9432 0.6662 Hg
0.5641 0.0568 0.3338 Hg
0.5641 0.4432 0.3338 Hg
0.7500 0.2500 0.7671 Hg
0.9359 0.0568 0.3338 Hg
0.9359 0.4432 0.3338 Hg
0.0018 0.2500 0.5315 Te
0.2500 0.5482 0.0269 Te
0.2500 0.9518 0.0269 Te
0.4982 0.2500 0.5315 Te
0.5018 0.7500 0.4685 Te
0.7500 0.0482 0.9731 Te
0.7500 0.4518 0.9731 Te
0.9982 0.7500 0.4685 Te
```


Here is crystalline CsHgTe at its relaxed geometry from Alexandria. Energies are from PBE.

The calculated total energy is -12.34 eV/cell. The space group is Cm. The calculation puts the formation energy without anion corrections at -0.62 eV per atom.

Structure (POSCAR):
```
CsHgTe
1.0
9.6710 -2.9385 0.0000
9.6710 2.9385 0.0000
-0.1917 0.0000 4.9121
Cs Hg Te
2 2 2
direct
0.0000 0.0000 0.0000 Cs
0.7145 0.7145 0.0316 Cs
0.2976 0.2976 0.5459 Hg
0.5420 0.5420 0.5197 Hg
0.1533 0.1533 0.5204 Te
0.3741 0.3741 0.0563 Te
```


Here is crystalline CsHg3Te3 at its relaxed geometry from Alexandria. Energies are from PBE.

The calculated total energy is -25.58 eV/cell. The space group is P6_3/m. The calculation puts the formation energy without anion corrections at -0.23 eV per atom.

Structure (POSCAR):
```
CsHg3Te3
1.0
11.8576 0.0000 0.0000
-5.9288 10.2690 0.0000
0.0000 0.0000 4.0619
Cs Hg Te
2 6 6
direct
0.3333 0.6667 0.2500 Cs
0.6667 0.3333 0.7500 Cs
0.0147 0.2109 0.2500 Hg
0.1962 0.9853 0.2500 Hg
0.2109 0.1962 0.7500 Hg
0.7891 0.8038 0.2500 Hg
0.8038 0.0147 0.7500 Hg
0.9853 0.7891 0.7500 Hg
0.0178 0.4152 0.7500 Te
0.3974 0.9822 0.7500 Te
0.4152 0.3974 0.2500 Te
0.5848 0.6026 0.7500 Te
0.6026 0.0178 0.2500 Te
0.9822 0.5848 0.2500 Te
```


Here is crystalline CsHgTe at its relaxed geometry from Alexandria. Energies are from PBE.

The calculated total energy is -5.99 eV/cell. The space group is Pm. The calculation puts the formation energy without anion corrections at -0.56 eV per atom.

Structure (POSCAR):
```
CsHgTe
1.0
5.0126 0.0000 0.0000
0.0000 5.4692 0.0000
-2.3153 0.0000 4.8869
Cs Hg Te
1 1 1
direct
0.0000 0.0000 0.0000 Cs
0.6747 0.5000 0.3240 Hg
0.3380 0.5000 0.6940 Te
```


Q: Which value of calculated total energy does entry 12 give?
A: -5.99 eV/cell